## B5C7 (PBE-GGA)

Data for an optimized crystal structure of B5C7.

Structure (extended XYZ):
```
12
Lattice="-2.8229 -1.7711 -3.2249 4.2462 1.5379 -1.2033 1.3289 -3.7108 2.0684" Properties=species:S:1:pos:R:3 pbc="T T T"
B 3.7541 -0.8629 -0.4874
B 1.5324 -2.2274 -1.1760
B 0.3736 -0.8541 -1.1705
B 3.4101 -3.0713 0.0835
B 0.8568 -4.3198 -0.5730
C 3.1039 0.6040 -0.7270
C 2.4860 -1.8005 0.0199
C -1.0000 -3.0498 -1.8843
C -1.6840 -1.6685 -2.0995
C 0.0916 -2.8115 -0.7936
C 2.7690 -3.9084 -2.2894
C 2.1721 -2.5351 -2.6179
```

- energy above the most stable polymorph in this dataset (meV/atom) = 152.6
- N(E_F) (states/eV/f.u.) = 1.94
- space group = No. 1